[1]
Compound: CrIrSe2
Source: the Alexandria database
Functional: GGA-PBEsol
Structure: relaxed

Lattice parameters (Å, degrees): 2.976 4.483 5.472 114.18 105.78 90.00
Fractional coordinates of all 4 atoms:
Se (0.235, 0.735, 0.469)
Cr (0.502, 0.502, 0.005)
Se (0.022, 0.022, 0.044)
Ir (0.741, 0.241, 0.482)

Output
* total moment: 3.28 Bohr magnetons per cell
* density: 10.504 g cm⁻³
* crystal system: orthorhombic
* formation energy without anion corrections: 0.27 eV/atom
* distance to the lowest polymorph of the same formula: 0.302 eV/atom

***

[2]
Compound: CrSiIr2
Source: the Alexandria database
Functional: GGA-PBEsol
Structure: relaxed

Lattice parameters (Å, degrees): 2.817 4.346 5.006 115.73 106.34 90.00
Fractional coordinates of all 4 atoms:
Cr (0.000, 0.500, 0.000)
Si (0.500, 0.000, 0.000)
Ir (0.223, 0.223, 0.447)
Ir (0.777, 0.777, 0.553)

Output
* total moment: 0.78 Bohr magnetons per cell
* density: 14.707 g cm⁻³
* crystal system: orthorhombic
* formation energy without anion corrections: -0.21 eV/atom

***

[3]
Compound: CrSiIr2
Source: the Alexandria database
Functional: GGA-PBEsol
Structure: relaxed

Lattice parameters (Å, degrees): 4.208 4.208 4.208 60.00 60.00 60.00
Fractional coordinates of all 4 atoms:
Si (0.750, 0.750, 0.750)
Cr (0.500, 0.500, 0.500)
Ir (0.000, 0.000, 0.000)
Ir (0.250, 0.250, 0.250)

Output
* total moment: 0.00 Bohr magnetons per cell
* density: 14.637 g cm⁻³
* crystal system: cubic
* formation energy without anion corrections: 0.03 eV/atom